Entry from Alexandria via LeMat-Bulk: an optimized crystal structure of Rb2BiWO6 (GGA+U).

Calculated values
Volume ... 153.0 Å³/cell
VASP energy ... -0.4346 Ry/atom
DOS at the Fermi energy ... 0.460 states/eV per atom

abc: 6.002 6.002 6.002
angles: 119.96 119.96 90.07
Element x y z (fractional)
1 Rb 0.250 0.750 0.500
2 Rb 0.750 0.250 0.500
3 Bi 0.000 0.000 0.000
4 W 0.500 0.500 0.000
5 O 0.269 0.269 0.000
6 O 0.269 0.269 0.539
7 O 0.269 0.731 0.000
8 O 0.731 0.269 0.000
9 O 0.731 0.731 0.000
10 O 0.731 0.731 0.461